# 1
Material: RbZr2AgRu
Method: DFT, PBE
State: relaxed

Cell: 5.2237 5.5046 5.2237 Å, 90.00 90.00 90.00°
Each line ends with the local moment (μB).
Fractional positions:
Ru 0.5000 0.5000 0.5000  -0.24
Rb 0.0000 0.5000 0.0000  0.01
Zr 0.0000 0.0000 0.5000  0.22
Zr 0.5000 0.0000 0.0000  0.31
Ag 0.0000 0.0000 0.0000  0.03

Results
VASP energy (eV per atom): -4.2267
DFT formation energy (eV per atom): 1.812


# 2
Material: Rb2AgS2
Method: DFT, PBE
State: relaxed

Cell: 7.3516 7.3516 5.1237 Å, 90.00 90.00 90.00°
Fractional positions:
S 0.3329 0.8329 0.0000
S 0.8329 0.6671 0.0000
S 0.6671 0.1671 0.0000
S 0.1671 0.3329 0.0000
Rb 0.1529 0.6529 0.5000
Rb 0.6529 0.8471 0.5000
Rb 0.8471 0.3471 0.5000
Rb 0.3471 0.1529 0.5000
Ag 0.0000 0.0000 0.0000
Ag 0.5000 0.5000 0.0000

Results
VASP energy (eV per atom): -3.0700
Raw formation energy (eV/atom): -0.4617


# 3
Material: Rb4Ag2S
Method: DFT, PBE
State: relaxed

Cell: 6.2891 6.2891 10.3521 Å, 107.68 107.68 90.00°
Fractional positions:
S 0.0000 0.0000 0.0000
Rb 0.8307 0.8307 0.6615
Rb 0.1693 0.1693 0.3385
Rb 0.0000 0.5000 0.0000
Rb 0.5000 0.0000 0.0000
Ag 0.6381 0.6381 0.2761
Ag 0.3619 0.3619 0.7239

Results
VASP energy (eV per atom): -2.2566
Raw formation energy (eV/atom): -0.2994


# 4
Material: Rb3AgS3
Method: DFT, PBE
State: relaxed

Cell: 6.7746 9.6215 9.6215 Å, 120.00 90.00 90.00°
Each line ends with the local moment (μB).
Fractional positions:
Rb 0.7500 0.7146 0.6299  0.01
Rb 0.7500 0.3701 0.0847  0.01
Rb 0.7500 0.9153 0.2854  0.01
Rb 0.2500 0.2854 0.3701  0.01
Rb 0.2500 0.6299 0.9153  0.01
Rb 0.2500 0.0847 0.7146  0.01
Ag 0.2500 0.6667 0.3333  0.34
Ag 0.7500 0.3333 0.6667  0.34
S 0.2500 0.6954 0.5925  0.33
S 0.2500 0.4075 0.1029  0.33
S 0.2500 0.8971 0.3046  0.33
S 0.7500 0.3046 0.4075  0.33
S 0.7500 0.5925 0.8971  0.33
S 0.7500 0.1029 0.6954  0.33

Results
VASP energy (eV per atom): -3.1869
Raw formation energy (eV/atom): -0.5960